Entry 1:
Computed, not measured: HoTc3Ge3 after structural relaxation at the PBE-GGA level of DFT.

Cell: 8.156 8.156 4.420 Å, 90.00 90.00 120.00°
Positions (direct):
Ho 0.333 0.667 0.250
Ho 0.667 0.333 0.750
Tc 0.053 0.838 0.250
Tc 0.162 0.214 0.250
Tc 0.214 0.053 0.750
Tc 0.786 0.947 0.250
Tc 0.838 0.786 0.750
Tc 0.947 0.162 0.750
Ge 0.089 0.683 0.750
Ge 0.317 0.406 0.750
Ge 0.406 0.089 0.250
Ge 0.594 0.911 0.750
Ge 0.683 0.594 0.250
Ge 0.911 0.317 0.250

Computed properties:
energy relative to the lowest polymorph listed for this composition = 0 meV/atom
uncorrected energy = -7.333 eV/atom



Entry 2:
Computed, not measured: SrHoZnIr after structural relaxation at the PBE-GGA level of DFT.

Cell: 5.053 5.053 5.053 Å, 60.00 60.00 60.00°
Positions (direct):
Sr 0.000 0.000 0.000
Ho 0.500 0.500 0.500
Zn 0.250 0.250 0.250
Ir 0.750 0.750 0.750

Computed properties:
uncorrected energy = -4.372 eV/atom



Entry 3:
Computed, not measured: Rb2BiOsRh after structural relaxation at the PBE-GGA level of DFT.

Cell: 6.596 6.596 4.577 Å, 90.00 90.00 90.00°
Positions (direct):
Rb 0.000 0.500 0.000
Rb 0.500 0.000 0.000
Bi 0.000 0.000 0.500
Os 0.500 0.500 0.500
Rh 0.500 0.500 0.000

Computed properties:
uncorrected energy = -3.712 eV/atom



Entry 4:
Computed, not measured: PuTaClO4 after structural relaxation at the PBE-GGA level of DFT.

Cell: 6.428 6.428 7.081 Å, 107.26 107.26 70.42°
Positions (direct):
Pu 0.225 0.225 0.168
Pu 0.775 0.775 0.832
Ta 0.373 0.373 0.771
Ta 0.627 0.627 0.229
Cl 0.015 0.015 0.775
Cl 0.985 0.985 0.225
O 0.075 0.499 0.814
O 0.329 0.329 0.492
O 0.433 0.433 0.129
O 0.499 0.075 0.814
O 0.501 0.925 0.186
O 0.567 0.567 0.871
O 0.671 0.671 0.508
O 0.925 0.501 0.186

Computed properties:
ΔE_f (raw) = -2.630 eV per atom
uncorrected energy = -9.467 eV/atom



Entry 5:
Computed, not measured: Ca4Au2F after structural relaxation at the PBE-GGA level of DFT.

Cell: 8.880 8.880 8.880 Å, 149.63 149.63 43.49°
Positions (direct):
Ca 0.000 0.500 0.500
Ca 0.187 0.187 0.000
Ca 0.500 0.000 0.500
Ca 0.813 0.813 0.000
Au 0.372 0.372 0.000
Au 0.628 0.628 0.000
F 0.000 0.000 0.000

Computed properties:
ΔE_f (raw) = -1.255 eV per atom
uncorrected energy = -3.603 eV/atom



Entry 6:
Computed, not measured: CePmYHo after structural relaxation at the PBE-GGA level of DFT.

Cell: 5.704 5.704 5.704 Å, 60.00 60.00 60.00°
Positions (direct):
Ce 0.000 0.000 0.000
Pm 0.750 0.750 0.750
Y 0.500 0.500 0.500
Ho 0.250 0.250 0.250

Computed properties:
uncorrected energy = -5.241 eV/atom